(1)
Compound: OsCl
Source: the Alexandria database
Functional: GGA-PBE
Structure: relaxed

## Properties
* V: 33.0 Å³/f.u.
* energy relative to the elements, uncorrected: 0.964 eV/atom
* size of the total moment: 0.0 μB/f.u.
* polymorph energy (0 for the lowest one): 840.4 meV/atom

Lattice parameters (Å, degrees): 2.8122 2.8122 9.6420 90.00 90.00 120.00
With the nearest neighbours (Å) after each atom.
Element x y z (fractional)
Os (0.3333, 0.6667, 0.6545)  1 Cl 2.19
Os (0.6667, 0.3333, 0.1545)  1 Cl 2.19
Cl (0.3333, 0.6667, 0.4275)  1 Os 2.19
Cl (0.6667, 0.3333, 0.9275)  1 Os 2.19

(2)
Compound: InIrRh3
Source: the Alexandria database
Functional: GGA-PBE
Structure: relaxed

## Properties
* V: 107.4 Å³/f.u.
* size of the total moment: 0.0 μB/f.u.
* polymorph energy (0 for the lowest one): 0.0 meV/atom
* formation energy from the elements: 1.0380 eV per atom

Lattice parameters (Å, degrees): 4.7532 4.7532 4.7532 90.00 90.00 90.00
With the nearest neighbours (Å) after each atom.
Element x y z (fractional)
Ir (0.0000, 0.0000, 0.0000)  6 Rh 2.38
Rh (0.0000, 0.5000, 0.0000)  2 Ir 2.38
Rh (0.0000, 0.0000, 0.5000)  2 Ir 2.38
Rh (0.5000, 0.0000, 0.0000)  2 Ir 2.38
In (0.5000, 0.5000, 0.5000)  12 Rh 3.36

Which formula does entry 1 have?
OsCl

Copy entry 2 word for word.
Compound: InIrRh3
Source: the Alexandria database
Functional: GGA-PBE
Structure: relaxed

## Properties
* V: 107.4 Å³/f.u.
* size of the total moment: 0.0 μB/f.u.
* polymorph energy (0 for the lowest one): 0.0 meV/atom
* formation energy from the elements: 1.0380 eV per atom

Lattice parameters (Å, degrees): 4.7532 4.7532 4.7532 90.00 90.00 90.00
With the nearest neighbours (Å) after each atom.
Element x y z (fractional)
Ir (0.0000, 0.0000, 0.0000)  6 Rh 2.38
Rh (0.0000, 0.5000, 0.0000)  2 Ir 2.38
Rh (0.0000, 0.0000, 0.5000)  2 Ir 2.38
Rh (0.5000, 0.0000, 0.0000)  2 Ir 2.38
In (0.5000, 0.5000, 0.5000)  12 Rh 3.36